Record 1
A relaxed AgTePt crystal, computed with PBE.

a b c (Å): 6.5769 6.5750 3.1502
angles (deg): 76.17 76.11 27.72
Element x y z (fractional)
Ag (0.0000, 0.0000, 0.0000)
Te (0.2970, 0.2970, 0.7030)
Pt (0.6517, 0.6517, 0.3483)

Results
The calculation puts the size of the total moment at 0.0 Bohr magnetons per cell. The value obtained for the offset from the most stable computed form is 23.2 kJ per mole of atoms. The value obtained for the energy relative to the elements, uncorrected is 156 meV/atom. For the density of states at the Fermi level, the calculation gives 1.84 states/eV/cell. As for the raw total energy: -3.855 eV per atom. The space-group type is Fmm2, No. 42.

---

Record 2
A relaxed In2OsAu crystal, computed with PBE.

a b c (Å): 3.6731 3.6731 5.7148
angles (deg): 90.00 90.00 90.00
Element x y z (fractional)
In (0.0000, 0.0000, 0.0000)
In (0.5000, 0.5000, 0.3132)
Os (0.0000, 0.0000, 0.4979)
Au (0.5000, 0.5000, 0.7966)

Results
The calculation puts the size of the total moment at 0.0 Bohr magnetons per cell. For the density of states at the Fermi level, the calculation gives 1.81 states/eV/cell. The energy of formation from the pure elements is 0.39 eV per atom. As for the raw total energy: -4.605 eV per atom. The space-group type is P4mm, No. 99.

---

Record 3
A relaxed Li2CoGePb crystal, computed with PBE.

a b c (Å): 4.6322 4.6322 4.9122
angles (deg): 90.00 90.00 90.00
Element x y z (fractional)
Li (0.0000, 0.5000, 0.0000)
Li (0.5000, 0.0000, 0.0000)
Co (0.0000, 0.0000, 0.0000)
Ge (0.5000, 0.5000, 0.5000)
Pb (0.0000, 0.0000, 0.5000)

Results
The calculation puts the size of the total moment at 1.1 Bohr magnetons per cell. For the density of states at the Fermi level, the calculation gives 3.99 states/eV/cell. The energy of formation from the pure elements is 0.43 eV per atom. As for the raw total energy: -3.424 eV per atom. The space-group type is P4/mmm, No. 123.

---

Record 4
A relaxed Ti2TeRu crystal, computed with PBE.

a b c (Å): 5.8550 5.8550 5.8550
angles (deg): 103.78 103.78 121.58
Element x y z (fractional)
Ti (0.0841, 0.6250, 0.9591)
Ti (0.3750, 0.3341, 0.4591)
Ti (0.6659, 0.1250, 0.0409)
Ti (0.8750, 0.9159, 0.5409)
Te (0.2500, 0.7500, 0.5000)
Te (0.5000, 0.5000, 0.0000)
Ru (0.0000, 0.0000, 0.0000)
Ru (0.7500, 0.2500, 0.5000)

Results
The calculation puts the size of the total moment at 0.0 Bohr magnetons per cell. The value obtained for the energy relative to the elements, uncorrected is -94 meV/atom. For the density of states at the Fermi level, the calculation gives 8.77 states/eV/cell. As for the raw total energy: -7.146 eV per atom. The space-group type is I-42d, No. 122.